[1]
Below is a relaxed Zn2InSi2 crystal, with properties calculated at the GGA-PBE level.

Structure (extended XYZ):
```
10
Lattice="7.9389 0.0000 0.0000 0.0000 7.9389 0.0000 0.0000 0.0000 2.8506" Properties=species:S:1:pos:R:3 pbc="T T T"
In 0.0000 0.0000 0.0000
In 3.9694 3.9694 0.0000
Zn 6.8215 2.8520 1.4253
Zn 5.0869 6.8215 1.4253
Zn 2.8520 1.1174 1.4253
Zn 1.1174 5.0869 1.4253
Si 2.7463 6.7158 0.0000
Si 5.1926 1.2231 0.0000
Si 1.2231 2.7463 0.0000
Si 6.7158 5.1926 0.0000
```

## Properties
energy relative to the lowest polymorph listed for this composition: 115 meV/atom
M_tot: 0.0 μB/f.u.
crystal system: tetragonal
volume: 17.966 A^3/atom
energy relative to the elements, uncorrected: 0.31 eV per atom

***

[2]
Below is a relaxed Ta2TlTe crystal, with properties calculated at the GGA-PBE level.

Structure (extended XYZ):
```
4
Lattice="-4.8797 -0.5531 0.6330 -1.8329 -4.3778 1.4118 -1.8586 -0.5528 4.5561" Properties=species:S:1:pos:R:3 pbc="T T T"
Tl -6.4284 -4.1128 4.9507
Ta -2.1428 -1.3709 1.6502
Ta 0.0000 0.0000 0.0000
Te -4.2856 -2.7419 3.3004
```

## Properties
energy relative to the lowest polymorph listed for this composition: 585 meV/atom
M_tot: 0.0 μB/f.u.
crystal system: cubic
volume: 21.461 A^3/atom
energy relative to the elements, uncorrected: 0.75 eV per atom

***

[3]
Below is a relaxed Ba5Na2Pd2 crystal, with properties calculated at the GGA-PBE level.

Structure (extended XYZ):
```
18
Lattice="8.2493 0.0000 2.9944 0.0000 8.7415 0.0000 0.6075 0.0000 11.1864" Properties=species:S:1:pos:R:3 pbc="T T T"
Ba 4.7735 7.2612 4.0813
Ba 6.0939 2.8905 4.5606
Ba 0.6489 5.8510 2.5841
Ba 4.0833 1.4802 10.0996
Ba 6.8875 7.2612 11.1175
Ba 2.7629 5.8510 9.6203
Ba 4.1246 4.3707 1.4972
Ba 1.9693 1.4802 3.0634
Ba 8.2080 2.8905 11.5968
Ba 0.0000 0.0000 0.0000
Pd 3.1058 7.6594 1.1274
Pd 1.0188 3.2887 0.3698
Pd 5.1435 1.0821 1.8671
Pd 7.2305 5.4528 2.6246
Na 2.1958 0.0000 6.8108
Na 6.3205 4.3707 8.3080
Na 6.6610 0.0000 7.3701
Na 2.5363 4.3707 5.8729
```

## Properties
formation energy from the elements: -248 meV/atom
M_tot: 0.0 μB/f.u.
crystal system: orthorhombic
volume: 43.931 A^3/atom

***

[4]
Below is a relaxed CaTm5Cd6 crystal, with properties calculated at the GGA-PBE level.

Structure (extended XYZ):
```
12
Lattice="4.9954 -0.0298 1.6647 0.0396 7.3668 0.0132 -0.0055 -0.0149 8.3435" Properties=species:S:1:pos:R:3 pbc="T T T"
Ca 0.0000 0.0000 0.0000
Tm 1.6601 -0.0149 3.3456
Tm 3.3298 -0.0298 6.6626
Tm 3.3369 3.6535 6.7072
Tm 1.6926 3.6685 3.3143
Tm 0.0198 3.6834 0.0066
Cd 2.5077 1.8711 0.8357
Cd 4.1600 1.8485 4.2051
Cd 0.8501 1.8634 5.8099
Cd 0.8695 5.4735 5.8164
Cd 2.5273 5.4658 0.8422
Cd 4.1794 5.4586 4.2115
```

## Properties
formation energy from the elements: -318 meV/atom
M_tot: 0.0 μB/f.u.
crystal system: orthorhombic
volume: 25.593 A^3/atom

***

[5]
Below is a relaxed ReTc crystal, with properties calculated at the GGA-PBE level.

Structure (extended XYZ):
```
4
Lattice="-2.4116 -0.8172 -1.0660 1.2998 -0.8671 -2.2757 0.9555 -7.0218 3.2214" Properties=species:S:1:pos:R:3 pbc="T T T"
Tc 0.3196 -4.8129 1.1794
Tc -0.4760 -3.8933 -1.2997
Re -0.1582 -1.3013 -0.4316
Re 0.0018 -7.4049 0.3113
```

## Properties
energy relative to the lowest polymorph listed for this composition: 75 meV/atom
formation energy from the elements: 69 meV/atom
M_tot: 0.0 μB/f.u.
crystal system: tetragonal
volume: 14.830 A^3/atom

***

[6]
Below is a relaxed RbZrAlS2 crystal, with properties calculated at the GGA-PBE level.

Structure (extended XYZ):
```
5
Lattice="5.0137 0.0000 0.0000 0.0000 5.1568 0.0000 0.0000 0.0000 5.0137" Properties=species:S:1:pos:R:3 pbc="T T T"
S 0.0000 0.0000 2.5069
S 2.5069 0.0000 0.0000
Rb 2.5069 2.5784 2.5069
Al 0.0000 0.0000 0.0000
Zr 0.0000 2.5784 0.0000
```

## Properties
M_tot: 1.9 μB/f.u.
crystal system: tetragonal
volume: 25.926 A^3/atom
energy relative to the elements, uncorrected: 0.22 eV per atom

***

[7]
Below is a relaxed Ti3GaCu crystal, with properties calculated at the GGA-PBE level.

Structure (extended XYZ):
```
10
Lattice="-1.8531 3.6004 -2.4283 -5.8304 -1.4038 2.3679 3.8512 4.1039 3.1459" Properties=species:S:1:pos:R:3 pbc="T T T"
Ga 0.1598 3.1676 2.2794
Ga -3.9921 3.1330 0.8060
Ti 0.5697 5.7281 1.1726
Ti -1.0258 4.0289 -0.1292
Ti -2.8065 2.2717 3.2146
Ti -4.4020 0.5725 1.9128
Ti -1.8447 5.1461 2.1522
Ti -1.9876 1.1545 0.9333
Cu 0.0000 0.0000 0.0000
Cu -0.9265 1.8002 -1.2142
```

## Properties
energy relative to the lowest polymorph listed for this composition: 40 meV/atom
formation energy from the elements: 125 meV/atom
M_tot: 0.0 μB/f.u.
crystal system: hexagonal
volume: 17.004 A^3/atom

***

[8]
Below is a relaxed Na2ErAsS4 crystal, with properties calculated at the GGA-PBE level.

Structure (extended XYZ):
```
8
Lattice="-1.4588 0.6298 -3.5294 -2.6605 -6.1659 -0.0006 -4.6876 4.4564 2.7327" Properties=species:S:1:pos:R:3 pbc="T T T"
S -6.4460 -0.9440 0.3735
S -4.3116 1.9277 2.1261
S -2.3609 -0.1357 -1.1707
S -3.0365 -3.6372 0.6060
Na -3.0732 2.5431 -0.3983
Na -3.6741 -0.8548 1.3660
Er -2.0596 -2.7681 -1.7650
As 0.0000 0.0000 0.0000
```

## Properties
M_tot: 0.0 μB/f.u.
crystal system: monoclinic
volume: 21.626 A^3/atom
energy relative to the elements, uncorrected: -1.18 eV per atom

***

[9]
Below is a relaxed Li2MgAlGa2 crystal, with properties calculated at the GGA-PBE level.

Structure (extended XYZ):
```
12
Lattice="4.3845 0.0000 0.0000 0.0000 5.7464 0.0000 0.0000 0.0000 8.3371" Properties=species:S:1:pos:R:3 pbc="T T T"
Al 2.1922 0.9890 6.0511
Al 2.1922 3.8622 2.2861
Li 2.1922 3.3380 7.7483
Li 2.1922 0.4648 0.5889
Li 0.0000 4.8771 6.5116
Li 0.0000 2.0039 1.8255
Mg 0.0000 5.3434 3.5368
Mg 0.0000 2.4702 4.8004
Ga 0.0000 1.6141 7.5601
Ga 0.0000 4.4873 0.7770
Ga 2.1922 1.3397 3.3167
Ga 2.1922 4.2129 5.0205
```

## Properties
formation energy from the elements: -183 meV/atom
M_tot: 0.0 μB/f.u.
crystal system: orthorhombic
volume: 17.504 A^3/atom

***

[10]
Below is a relaxed TmAgSnPt crystal, with properties calculated at the GGA-PBE level.

Structure (extended XYZ):
```
4
Lattice="4.8344 0.0000 0.0000 2.4172 4.1867 0.0000 2.4172 1.3956 3.9472" Properties=species:S:1:pos:R:3 pbc="T T T"
Sn 4.8344 2.7911 1.9736
Tm 0.0000 0.0000 0.0000
Ag 2.4172 1.3956 0.9868
Pt 7.2515 4.1867 2.9604
```

## Properties
formation energy from the elements: -675 meV/atom
M_tot: 0.0 μB/f.u.
crystal system: cubic
volume: 19.973 A^3/atom

***

[11]
Below is a relaxed MgSc2NiC crystal, with properties calculated at the GGA-PBE level.

Structure (extended XYZ):
```
5
Lattice="-3.9553 1.8723 0.8822 -0.5525 -2.7889 3.4417 1.8848 2.7783 2.5539" Properties=species:S:1:pos:R:3 pbc="T T T"
C 0.0000 0.0000 0.0000
Sc -1.9777 0.9362 0.4411
Sc -0.2763 -1.3944 1.7208
Mg 0.9424 1.3891 1.2770
Ni -1.3115 0.9309 3.4389
```

## Properties
energy relative to the lowest polymorph listed for this composition: 95 meV/atom
formation energy from the elements: -150 meV/atom
M_tot: 0.0 μB/f.u.
crystal system: tetragonal
volume: 16.813 A^3/atom

***

[12]
Below is a relaxed SrAs2Pt2 crystal, with properties calculated at the GGA-PBE level.

Structure (extended XYZ):
```
20
Lattice="-2.0802 -0.5013 -4.0468 -7.8093 -1.4550 4.1945 -2.0343 9.7655 -0.1640" Properties=species:S:1:pos:R:3 pbc="T T T"
As -5.4068 -1.0089 1.5793
As -10.4460 8.0848 0.4541
As -6.5169 8.8181 -1.5956
As -7.2055 2.3479 -0.7377
As -1.4778 -0.2755 -0.4704
As -4.7182 5.4614 0.7213
As -8.8374 4.6822 2.4011
As -3.0863 3.1271 -2.4175
Sr -8.0167 6.0608 -0.5804
Sr -7.8653 1.0081 2.5568
Sr -3.9070 1.7485 0.5640
Sr -4.0584 6.8012 -2.5731
Pt -6.7001 -0.1249 -0.4469
Pt -9.4430 3.2022 0.1506
Pt -5.2236 7.9341 0.4306
Pt -2.4807 4.6071 -0.1670
Pt -6.7253 3.7977 1.2690
Pt -5.1985 4.0116 -1.2853
Pt -2.7772 0.6070 -2.5085
Pt -9.1466 7.2022 2.4921
```

## Properties
formation energy from the elements: -790 meV/atom
M_tot: 0.0 μB/f.u.
crystal system: monoclinic
volume: 20.511 A^3/atom

***

[13]
Below is a relaxed La5Y4Er4 crystal, with properties calculated at the GGA-PBE level.

Structure (extended XYZ):
```
13
Lattice="-3.5447 1.5970 -3.3253 -3.3506 -7.9527 -4.1830 -8.2473 0.0781 4.8934" Properties=species:S:1:pos:R:3 pbc="T T T"
Y -8.1157 -4.8330 -1.5407
Y -4.6249 -4.1296 -0.9886
Y -10.5176 -2.1480 -1.6264
Y -7.0268 -1.4446 -1.0743
Er -9.2921 -5.9474 -4.7574
Er -5.8505 -0.3302 2.1424
Er -10.4738 -4.4107 1.1757
Er -4.6688 -1.8670 -3.7907
La 0.0000 0.0000 0.0000
La -11.6227 -5.5738 -2.0936
La -3.5199 -0.7039 -0.5214
La -9.3994 -1.0501 1.6443
La -5.7432 -5.2275 -4.2593
```

## Properties
formation energy from the elements: 32 meV/atom
M_tot: 0.0 μB/f.u.
crystal system: tetragonal
volume: 33.618 A^3/atom

***

[14]
Below is a relaxed ScCuP2 crystal, with properties calculated at the GGA-PBE level.

Structure (extended XYZ):
```
4
Lattice="-0.7355 3.3393 -0.4410 -2.5784 -1.5032 1.7257 2.6418 1.2466 5.0330" Properties=species:S:1:pos:R:3 pbc="T T T"
Cu 0.3244 1.8530 4.4171
Sc -0.9965 1.2297 1.9006
P 1.4104 0.6655 2.6870
P 2.5523 1.2043 4.8624
```

## Properties
formation energy from the elements: -348 meV/atom
M_tot: 0.0 μB/f.u.
crystal system: orthorhombic
volume: 16.343 A^3/atom

***

[15]
Below is a relaxed SrLaZnCd crystal, with properties calculated at the GGA-PBE level.

Structure (extended XYZ):
```
4
Lattice="-0.1630 -2.0254 -3.3304 3.5341 -1.4830 0.7289 -3.3332 -6.0538 3.8448" Properties=species:S:1:pos:R:3 pbc="T T T"
Sr -2.8915 -5.2516 3.3353
Cd -0.2847 -5.3326 0.9719
Zn 1.2560 -2.5343 -0.8053
La -1.1350 -2.0614 1.3092
```

## Properties
formation energy from the elements: -287 meV/atom
M_tot: 0.2 μB/f.u.
crystal system: tetragonal
volume: 30.091 A^3/atom

***

[16]
Below is a relaxed ErTmNb crystal, with properties calculated at the GGA-PBE level.

Structure (extended XYZ):
```
6
Lattice="4.8948 0.0000 0.0000 0.0000 3.1663 0.0000 0.0000 1.5832 9.6485" Properties=species:S:1:pos:R:3 pbc="T T T"
Tm 3.6711 3.1663 2.6196
Tm 1.2237 1.5832 7.0290
Er 1.2237 1.5832 0.9935
Er 3.6711 3.1663 8.6550
Nb 1.2237 1.5831 4.1470
Nb 3.6711 3.1663 5.5016
```

## Properties
formation energy from the elements: 317 meV/atom
M_tot: 0.0 μB/f.u.
crystal system: orthorhombic
volume: 24.923 A^3/atom

***

[17]
Below is a relaxed Sm2Si2Tc crystal, with properties calculated at the GGA-PBE level.

Structure (extended XYZ):
```
10
Lattice="4.1161 0.0000 0.9755 2.0693 5.5522 0.4404 -0.0252 -0.3734 9.2776" Properties=species:S:1:pos:R:3 pbc="T T T"
Sm 4.3205 1.1580 9.2849
Sm 3.4498 1.7260 3.7869
Sm 1.8398 4.0208 1.4087
Sm 2.7104 3.4528 6.9066
Si 1.8035 0.6077 1.5620
Si 0.8905 1.2534 5.4140
Si 4.3568 4.5710 9.1315
Si 5.2697 3.9254 5.2796
Tc 2.8097 0.1875 6.4880
Tc 3.3506 4.9913 4.2056
```

## Properties
energy relative to the lowest polymorph listed for this composition: 0 meV/atom
M_tot: 0.0 μB/f.u.
crystal system: monoclinic
volume: 21.208 A^3/atom
energy relative to the elements, uncorrected: -0.68 eV per atom

***

[18]
Below is a relaxed LiTiPt2 crystal, with properties calculated at the GGA-PBE level.

Structure (extended XYZ):
```
8
Lattice="6.8591 0.0000 0.0000 0.0000 6.8591 0.0000 3.4296 3.4296 2.7613" Properties=species:S:1:pos:R:3 pbc="T T T"
Pt 8.5739 8.6432 2.0710
Pt 5.2137 1.7148 0.6903
Pt 1.6454 5.1443 0.6903
Pt 5.1443 5.0750 2.0710
Li 3.4296 3.4296 0.0000
Li 3.4296 6.8591 1.3807
Ti 0.0000 0.0000 0.0000
Ti 6.8591 3.4296 1.3807
```

## Properties
energy relative to the lowest polymorph listed for this composition: 413 meV/atom
formation energy from the elements: -452 meV/atom
M_tot: 0.0 μB/f.u.
crystal system: tetragonal
volume: 16.239 A^3/atom

***

[19]
Below is a relaxed TaAsSe3 crystal, with properties calculated at the GGA-PBE level.

Structure (extended XYZ):
```
20
Lattice="3.5502 0.0000 0.0000 0.0000 10.4345 0.0000 0.0000 0.0000 14.7493" Properties=species:S:1:pos:R:3 pbc="T T T"
Se 2.6626 6.8542 8.4985
Se 2.6626 6.3208 4.6771
Se 2.6626 3.6975 1.0688
Se 0.8875 6.7370 13.6805
Se 0.8875 8.9147 6.3059
Se 2.6626 9.3309 12.0517
Se 0.8875 1.1036 2.6976
Se 2.6626 8.7976 1.1238
Se 0.8875 4.1137 10.0722
Se 0.8875 1.6369 13.6254
Se 2.6626 1.5198 8.4434
Se 0.8875 3.5803 6.2508
Ta 2.6626 4.2790 8.0516
Ta 0.8875 6.1555 6.6977
Ta 2.6626 0.9383 0.6769
Ta 0.8875 9.4962 14.0723
As 0.8875 1.6548 10.1790
As 2.6626 6.8720 11.9449
As 0.8875 3.5625 2.8044
As 2.6626 8.7797 4.5702
```

## Properties
energy relative to the lowest polymorph listed for this composition: 0 meV/atom
M_tot: 0.0 μB/f.u.
crystal system: orthorhombic
volume: 27.319 A^3/atom
energy relative to the elements, uncorrected: -0.45 eV per atom

***

[20]
Below is a relaxed Ca8Pd2Pt crystal, with properties calculated at the GGA-PBE level.

Structure (extended XYZ):
```
11
Lattice="-6.3225 -0.5184 -0.4175 2.2892 -4.9984 -5.6073 1.2596 -2.7829 7.2343" Properties=species:S:1:pos:R:3 pbc="T T T"
Ca 0.3625 -6.0752 2.8427
Ca -4.1031 -5.0083 -3.3736
Ca -4.7080 -3.7067 4.1707
Ca 0.1391 -2.8711 0.5065
Ca 0.6358 -6.6631 -0.5650
Ca -2.7612 -5.4861 0.7251
Ca -2.7265 -2.2239 -1.5635
Ca -2.9940 -1.6483 1.7728
Pt 2.3677 -7.8634 1.5464
Pd -1.1750 -4.6691 -1.7574
Pd -1.5571 -3.8470 3.0075
```

## Properties
formation energy from the elements: -474 meV/atom
M_tot: 0.0 μB/f.u.
crystal system: monoclinic
volume: 30.869 A^3/atom

***

[21]
Below is a relaxed U2Si3Ni4Ge crystal, with properties calculated at the GGA-PBE level.

Structure (extended XYZ):
```
10
Lattice="4.0058 0.0000 0.0000 0.0000 4.0058 0.0000 0.0000 0.0000 9.4054" Properties=species:S:1:pos:R:3 pbc="T T T"
Si 0.0000 0.0000 4.7027
Si 0.0000 2.0029 1.2075
Si 2.0029 0.0000 8.1979
Ni 2.0029 0.0000 5.9222
Ni 0.0000 2.0029 3.4831
Ni 2.0029 2.0029 0.0000
Ni 0.0000 0.0000 0.0000
U 2.0029 0.0000 2.3014
U 0.0000 2.0029 7.1040
Ge 2.0029 2.0029 4.7027
```

## Properties
M_tot: 3.4 μB/f.u.
crystal system: tetragonal
volume: 15.092 A^3/atom
energy relative to the elements, uncorrected: -0.54 eV per atom

***

[22]
Below is a relaxed TbErTlCd crystal, with properties calculated at the GGA-PBE level.

Structure (extended XYZ):
```
4
Lattice="-4.7206 2.0501 -1.3433 -1.8508 -0.6050 -4.9497 -4.1332 -3.2193 -0.9189" Properties=species:S:1:pos:R:3 pbc="T T T"
Tl -2.6761 -0.4435 -1.8030
Tb -5.3522 -0.8871 -3.6060
Er 0.0000 0.0000 0.0000
Cd -8.0284 -1.3306 -5.4090
```

## Properties
formation energy from the elements: -332 meV/atom
M_tot: 0.0 μB/f.u.
crystal system: cubic
volume: 26.601 A^3/atom

***

[23]
Below is a relaxed YEr2As3 crystal, with properties calculated at the GGA-PBE level.

Structure (extended XYZ):
```
6
Lattice="-2.0463 2.8982 6.1463 2.0463 -2.8982 6.1463 2.0463 2.8982 -6.1463" Properties=species:S:1:pos:R:3 pbc="T T T"
As 0.0000 0.0000 4.0783
As 0.0000 0.0000 0.0000
As 0.0000 0.0000 8.2143
Er 0.0000 2.8982 4.1009
Er 2.0463 0.0000 2.0454
Y 0.0000 2.8982 0.0000
```

## Properties
formation energy from the elements: -1532 meV/atom
M_tot: 0.0 μB/f.u.
crystal system: orthorhombic
volume: 24.301 A^3/atom